# 1
! SbTe2OsRu, optimized geometry, DFT GGA-PBEsol; values from VASP
! - space-group type = P4/mmm, No. 123
! - crystal system = tetragonal
! - E_form (uncorrected) (eV/atom) = 1.440
! - magnetic moment (μB per formula unit) = 0.0
&SYSTEM
  ibrav = 0, nat = 5, ntyp = 4
/
ATOMIC_SPECIES
Sb 121.76 Sb.upf
Te 127.60 Te.upf
Os 190.23 Os.upf
Ru 101.07 Ru.upf
CELL_PARAMETERS angstrom
4.9667 0.0000 0.0000
0.0000 4.9667 0.0000
0.0000 0.0000 4.8880
ATOMIC_POSITIONS angstrom
Sb 0.0000 0.0000 0.0000
Te 0.0000 2.4833 2.4440
Te 2.4833 0.0000 2.4440
Os 2.4833 2.4833 0.0000
Ru 0.0000 0.0000 2.4440

---

# 2
! ScOs3Ru, optimized geometry, DFT GGA-PBEsol; values from VASP
! - space-group type = Pm-3m, No. 221
! - crystal system = cubic
! - energy relative to the elements (eV per atom) = 2.632
! - magnetic moment (μB per formula unit) = 0.0
&SYSTEM
  ibrav = 0, nat = 5, ntyp = 3
/
ATOMIC_SPECIES
Sc 44.96 Sc.upf
Os 190.23 Os.upf
Ru 101.07 Ru.upf
CELL_PARAMETERS angstrom
4.4553 0.0000 0.0000
0.0000 4.4553 0.0000
0.0000 0.0000 4.4553
ATOMIC_POSITIONS angstrom
Sc 0.0000 0.0000 0.0000
Os 0.0000 0.0000 2.2276
Os 0.0000 2.2276 0.0000
Os 2.2276 0.0000 0.0000
Ru 2.2276 2.2276 2.2276

---

# 3
! ScOs2Ru, optimized geometry, DFT GGA-PBEsol; values from VASP
! - space-group type = C2/m, No. 12
! - crystal system = monoclinic
! - energy relative to the elements (eV per atom) = 0.001
! - magnetic moment (μB per formula unit) = 0.0
&SYSTEM
  ibrav = 0, nat = 4, ntyp = 3
/
ATOMIC_SPECIES
Sc 44.96 Sc.upf
Os 190.23 Os.upf
Ru 101.07 Ru.upf
CELL_PARAMETERS angstrom
4.7023 -1.4001 0.0000
4.7023 1.4001 0.0000
-0.9262 0.0000 4.5135
ATOMIC_POSITIONS angstrom
Sc 0.0000 0.0000 0.0000
Os 1.5206 0.0000 3.3171
Os 6.9578 0.0000 1.1964
Ru 4.2392 0.0000 2.2568

---

# 4
! OsRuSe3, optimized geometry, DFT GGA-PBEsol; values from VASP
! - space-group type = Pm-3m, No. 221
! - crystal system = cubic
! - E_form (uncorrected) (eV/atom) = 1.363
! - magnetic moment (μB per formula unit) = 2.2
&SYSTEM
  ibrav = 0, nat = 5, ntyp = 3
/
ATOMIC_SPECIES
Os 190.23 Os.upf
Ru 101.07 Ru.upf
Se 78.96 Se.upf
CELL_PARAMETERS angstrom
4.7678 0.0000 0.0000
0.0000 4.7678 0.0000
0.0000 0.0000 4.7678
ATOMIC_POSITIONS angstrom
Os 0.0000 0.0000 0.0000
Ru 2.3839 2.3839 2.3839
Se 0.0000 0.0000 2.3839
Se 0.0000 2.3839 0.0000
Se 2.3839 0.0000 0.0000

---

# 5
! Os2RuSe, optimized geometry, DFT GGA-PBEsol; values from VASP
! - space-group type = Pmmm, No. 47
! - crystal system = orthorhombic
! - E_form (uncorrected) (eV/atom) = 0.705
! - magnetic moment (μB per formula unit) = 0.4
&SYSTEM
  ibrav = 0, nat = 4, ntyp = 3
/
ATOMIC_SPECIES
Os 190.23 Os.upf
Ru 101.07 Ru.upf
Se 78.96 Se.upf
CELL_PARAMETERS angstrom
2.7974 0.0000 0.0000
0.0000 4.5182 0.0000
0.0000 0.0000 4.5883
ATOMIC_POSITIONS angstrom
Os 0.0000 0.0000 0.0000
Os 1.3987 2.2591 0.0000
Ru 0.0000 2.2591 2.2941
Se 1.3987 0.0000 2.2941

---

# 6
! OsRuSe2, optimized geometry, DFT GGA-PBEsol; values from VASP
! - energy above the lowest structure with this stoichiometry (eV/atom) = 0.107
! - space-group type = Fm-3m, No. 225
! - crystal system = cubic
! - E_form (uncorrected) (eV/atom) = 0.467
! - magnetic moment (μB per formula unit) = 0.0
&SYSTEM
  ibrav = 0, nat = 4, ntyp = 3
/
ATOMIC_SPECIES
Os 190.23 Os.upf
Ru 101.07 Ru.upf
Se 78.96 Se.upf
CELL_PARAMETERS angstrom
0.0000 3.0936 3.0936
3.0936 0.0000 3.0936
3.0936 3.0936 0.0000
ATOMIC_POSITIONS angstrom
Os 0.0000 0.0000 0.0000
Ru 3.0936 3.0936 3.0936
Se 1.5468 1.5468 1.5468
Se 4.6404 4.6404 4.6404

---

# 7
! OsRuSe2, optimized geometry, DFT GGA-PBEsol; values from VASP
! - energy above the lowest structure with this stoichiometry (eV/atom) = 0.454
! - space-group type = Cmmm, No. 65
! - crystal system = orthorhombic
! - E_form (uncorrected) (eV/atom) = 0.814
! - magnetic moment (μB per formula unit) = 0.0
&SYSTEM
  ibrav = 0, nat = 4, ntyp = 3
/
ATOMIC_SPECIES
Os 190.23 Os.upf
Ru 101.07 Ru.upf
Se 78.96 Se.upf
CELL_PARAMETERS angstrom
1.4414 -2.4733 0.0000
1.4414 2.4733 0.0000
0.0000 0.0000 8.6194
ATOMIC_POSITIONS angstrom
Os 0.0000 0.0000 0.0000
Ru 0.0000 0.0000 4.3097
Se 1.4414 0.0000 2.1833
Se 1.4414 0.0000 6.4362

---

# 8
! OsRu2Se, optimized geometry, DFT GGA-PBEsol; values from VASP
! - space-group type = Immm, No. 71
! - crystal system = orthorhombic
! - E_form (uncorrected) (eV/atom) = 0.450
! - magnetic moment (μB per formula unit) = 0.0
&SYSTEM
  ibrav = 0, nat = 4, ntyp = 3
/
ATOMIC_SPECIES
Os 190.23 Os.upf
Ru 101.07 Ru.upf
Se 78.96 Se.upf
CELL_PARAMETERS angstrom
-1.4494 2.1925 4.3895
1.4494 -2.1925 4.3895
1.4494 2.1925 -4.3895
ATOMIC_POSITIONS angstrom
Os 0.0000 0.0000 0.0000
Ru 1.4494 0.0000 2.3972
Ru 0.0000 2.1925 1.9923
Se 0.0000 0.0000 4.3895

---

# 9
! OsRu2Se, optimized geometry, DFT GGA-PBEsol; values from VASP
! - space-group type = I-4m2, No. 119
! - crystal system = tetragonal
! - E_form (uncorrected) (eV/atom) = 0.578
! - magnetic moment (μB per formula unit) = 0.0
&SYSTEM
  ibrav = 0, nat = 4, ntyp = 3
/
ATOMIC_SPECIES
Os 190.23 Os.upf
Ru 101.07 Ru.upf
Se 78.96 Se.upf
CELL_PARAMETERS angstrom
-1.9450 1.9450 3.7126
1.9450 -1.9450 3.7126
1.9450 1.9450 -3.7126
ATOMIC_POSITIONS angstrom
Os 0.0000 0.0000 0.0000
Ru 0.0000 0.0000 3.7126
Ru 0.0000 1.9450 1.8563
Se 1.9450 0.0000 1.8563

---

# 10
! OsRu2Se, optimized geometry, DFT GGA-PBEsol; values from VASP
! - space-group type = Amm2, No. 38
! - crystal system = orthorhombic
! - E_form (uncorrected) (eV/atom) = 0.318
! - magnetic moment (μB per formula unit) = 0.0
&SYSTEM
  ibrav = 0, nat = 4, ntyp = 3
/
ATOMIC_SPECIES
Os 190.23 Os.upf
Ru 101.07 Ru.upf
Se 78.96 Se.upf
CELL_PARAMETERS angstrom
3.8796 0.0000 0.0000
0.0000 1.4097 5.1489
0.0000 -1.4097 5.1489
ATOMIC_POSITIONS angstrom
Os 0.0000 0.0000 0.0000
Ru 0.0000 0.0000 7.6584
Ru 1.9398 0.0000 3.9456
Se 1.9398 0.0000 1.5592

---

# 11
! OsRuSe2, optimized geometry, DFT GGA-PBEsol; values from VASP
! - energy above the lowest structure with this stoichiometry (eV/atom) = 0.000
! - space-group type = R-3m, No. 166
! - crystal system = trigonal
! - E_form (uncorrected) (eV/atom) = 0.360
! - magnetic moment (μB per formula unit) = 0.0
&SYSTEM
  ibrav = 0, nat = 4, ntyp = 3
/
ATOMIC_SPECIES
Os 190.23 Os.upf
Ru 101.07 Ru.upf
Se 78.96 Se.upf
CELL_PARAMETERS angstrom
1.4932 0.8621 7.7419
-1.4932 0.8621 7.7419
0.0000 -1.7242 7.7419
ATOMIC_POSITIONS angstrom
Os 0.0000 0.0000 0.0000
Ru 0.0000 0.0000 11.6128
Se 0.0000 0.0000 5.7855
Se 0.0000 0.0000 17.4402

---

# 12
! OsRuSe2, optimized geometry, DFT GGA-PBEsol; values from VASP
! - energy above the lowest structure with this stoichiometry (eV/atom) = 0.069
! - space-group type = R-3m, No. 166
! - crystal system = trigonal
! - E_form (uncorrected) (eV/atom) = 0.429
! - magnetic moment (μB per formula unit) = 0.0
&SYSTEM
  ibrav = 0, nat = 4, ntyp = 3
/
ATOMIC_SPECIES
Os 190.23 Os.upf
Ru 101.07 Ru.upf
Se 78.96 Se.upf
CELL_PARAMETERS angstrom
1.5134 0.8738 8.1908
-1.5134 0.8738 8.1908
0.0000 -1.7475 8.1908
ATOMIC_POSITIONS angstrom
Os 0.0000 0.0000 0.0000
Ru 0.0000 0.0000 12.2862
Se 0.0000 0.0000 2.3256
Se 0.0000 0.0000 22.2467